First-principles (GGA-PBE) data for DyNi4Pt after structural relaxation, as listed in the Alexandria database.

Summary:
Formation energy from the elements in kJ/mol of formula units: -234
Calculated total energy in eV/cell: -36.2

Cell: 4.894 4.894 4.894 Å, 60.00 60.00 60.00°
Positions (direct):
Dy  0.000  0.000  0.000
Ni  0.376  0.376  0.376
Ni  0.376  0.376  0.871
Ni  0.376  0.871  0.376
Ni  0.871  0.376  0.376
Pt  0.750  0.750  0.750

---

First-principles (GGA-PBE) data for Li3HoU2Se6 after structural relaxation, as listed in the Alexandria database.

Summary:
Calculated total energy in eV/cell: -69.8
Energy relative to the elements, uncorrected in eV/atom: -1.34

Cell: 7.007 7.007 6.964 Å, 99.65 99.65 120.01°
Positions (direct):
Li  0.000  0.000  0.000
Li  0.335  0.665  0.000
Li  0.665  0.335  0.000
Ho  0.500  0.500  0.500
U  0.167  0.833  0.500
U  0.833  0.167  0.500
Se  0.083  0.414  0.242
Se  0.255  0.255  0.757
Se  0.414  0.083  0.242
Se  0.586  0.917  0.758
Se  0.745  0.745  0.243
Se  0.917  0.586  0.758

---

First-principles (GGA-PBE) data for DyYZnGe after structural relaxation, as listed in the Alexandria database.

Summary:
ΔE to the lowest computed polymorph in kcal/mol of atoms: 2.35
Formation energy from the elements in kJ/mol of formula units: -207
Calculated total energy in eV/cell: -76.4

Cell: 7.105 7.105 7.105 Å, 90.00 90.00 90.00°
Positions (direct):
Dy  0.000  0.000  0.000
Dy  0.000  0.500  0.500
Dy  0.500  0.000  0.500
Dy  0.500  0.500  0.000
Y  0.000  0.000  0.500
Y  0.000  0.500  0.000
Y  0.500  0.000  0.000
Y  0.500  0.500  0.500
Zn  0.250  0.250  0.250
Zn  0.250  0.750  0.750
Zn  0.750  0.250  0.750
Zn  0.750  0.750  0.250
Ge  0.250  0.250  0.750
Ge  0.250  0.750  0.250
Ge  0.750  0.250  0.250
Ge  0.750  0.750  0.750

---

First-principles (GGA-PBE) data for TlGaPd4 after structural relaxation, as listed in the Alexandria database.

Summary:
ΔE to the lowest computed polymorph in kcal/mol of atoms: 1.86
Formation energy from the elements in kJ/mol of formula units: -170
Calculated total energy in eV/cell: -55.9

Cell: 5.356 7.891 5.086 Å, 90.00 110.51 90.00°
Positions (direct):
Tl  0.000  0.000  0.000
Tl  0.000  0.500  0.500
Ga  0.500  0.000  0.500
Ga  0.500  0.500  0.000
Pd  0.116  0.158  0.568
Pd  0.116  0.342  0.068
Pd  0.409  0.668  0.394
Pd  0.409  0.832  0.894
Pd  0.591  0.168  0.106
Pd  0.591  0.332  0.606
Pd  0.884  0.658  0.932
Pd  0.884  0.842  0.432

---

First-principles (GGA-PBE) data for CaSb2RhS after structural relaxation, as listed in the Alexandria database.

Summary:
Calculated total energy in eV/cell: -22.0
Energy relative to the elements, uncorrected in eV/atom: -0.06

Cell: 5.419 5.419 4.364 Å, 90.00 90.00 90.00°
Positions (direct):
Ca  0.000  0.000  0.000
Sb  0.000  0.500  0.500
Sb  0.500  0.000  0.500
Rh  0.500  0.500  0.000
S  0.500  0.500  0.500

---

First-principles (GGA-PBE) data for Na2LiPbCl6 after structural relaxation, as listed in the Alexandria database.

Summary:
Calculated total energy in eV/cell: -65.2
Energy relative to the elements, uncorrected in eV/atom: -1.33

Cell: 9.606 9.606 7.122 Å, 98.44 98.44 101.36°
Positions (direct):
Na  0.041  0.254  0.170
Na  0.254  0.041  0.670
Na  0.746  0.959  0.330
Na  0.959  0.746  0.830
Li  0.329  0.671  0.250
Li  0.671  0.329  0.750
Pb  0.407  0.593  0.750
Pb  0.593  0.407  0.250
Cl  0.016  0.143  0.523
Cl  0.143  0.016  0.023
Cl  0.173  0.612  0.939
Cl  0.298  0.437  0.353
Cl  0.388  0.827  0.561
Cl  0.437  0.298  0.853
Cl  0.563  0.702  0.147
Cl  0.612  0.173  0.439
Cl  0.702  0.563  0.647
Cl  0.827  0.388  0.061
Cl  0.857  0.984  0.977
Cl  0.984  0.857  0.477

---

First-principles (GGA-PBE) data for AsPtW2 after structural relaxation, as listed in the Alexandria database.

Summary:
Formation energy from the elements in kJ/mol of formula units: 71
Calculated total energy in eV/cell: -35.9

Cell: 3.296 3.296 5.979 Å, 90.00 90.00 90.00°
Positions (direct):
As  0.000  0.000  0.000
Pt  0.500  0.500  0.273
W  0.000  0.000  0.521
W  0.500  0.500  0.763

---

First-principles (GGA-PBE) data for ScInAu2 after structural relaxation, as listed in the Alexandria database.

Summary:
Formation energy from the elements in kJ/mol of formula units: -220
Calculated total energy in eV/cell: -17.9

Cell: 3.496 3.544 6.556 Å, 90.00 92.46 90.00°
Positions (direct):
Sc  0.000  0.000  0.000
In  0.000  0.000  0.500
Au  0.479  0.500  0.773
Au  0.521  0.500  0.227

---

First-principles (GGA-PBE) data for Cs2NaP2S6 after structural relaxation, as listed in the Alexandria database.

Summary:
Calculated total energy in eV/cell: -46.5
Energy relative to the elements, uncorrected in eV/atom: -0.72

Cell: 7.383 7.383 8.251 Å, 115.41 115.41 58.82°
Positions (direct):
Cs  0.222  0.222  0.215
Cs  0.778  0.778  0.785
Na  0.000  0.000  0.500
P  0.454  0.454  0.807
P  0.546  0.546  0.193
S  0.238  0.708  0.215
S  0.279  0.279  0.716
S  0.292  0.762  0.785
S  0.708  0.238  0.215
S  0.721  0.721  0.284
S  0.762  0.292  0.785

---

First-principles (GGA-PBE) data for Nb3AgSn after structural relaxation, as listed in the Alexandria database.

Summary:
ΔE to the lowest computed polymorph in kcal/mol of atoms: 5.53
Formation energy from the elements in kJ/mol of formula units: 823
Calculated total energy in eV/cell: -28.5

Cell: 5.050 5.050 5.050 Å, 90.00 90.00 90.00°
Positions (direct):
Nb  0.000  0.000  0.500
Nb  0.000  0.500  0.000
Nb  0.500  0.000  0.000
Ag  0.500  0.500  0.500
Sn  0.000  0.000  0.000

---

First-principles (GGA-PBE) data for Na2LiCoCl6 after structural relaxation, as listed in the Alexandria database.

Summary:
Calculated total energy in eV/cell: -35.2
Energy relative to the elements, uncorrected in eV/atom: -1.25

Cell: 6.827 6.827 6.827 Å, 58.42 58.42 58.42°
Positions (direct):
Na  0.000  0.000  0.000
Na  0.484  0.484  0.484
Li  0.229  0.229  0.229
Co  0.697  0.697  0.697
Cl  0.023  0.471  0.827
Cl  0.362  0.914  0.574
Cl  0.471  0.827  0.023
Cl  0.574  0.362  0.914
Cl  0.827  0.023  0.471
Cl  0.914  0.574  0.362

---

First-principles (GGA-PBE) data for Nd6Dy3HoTm2 after structural relaxation, as listed in the Alexandria database.

Summary:
Formation energy from the elements in kJ/mol of formula units: 15
Calculated total energy in eV/cell: -55.8

Cell: 6.256 6.256 11.808 Å, 95.05 95.05 119.99°
Positions (direct):
Nd  0.083  0.417  0.751
Nd  0.250  0.250  0.249
Nd  0.417  0.083  0.751
Nd  0.583  0.917  0.249
Nd  0.750  0.750  0.751
Nd  0.917  0.583  0.249
Dy  0.000  0.000  0.500
Dy  0.333  0.667  0.500
Dy  0.667  0.333  0.500
Ho  0.500  0.500  0.000
Tm  0.167  0.833  0.000
Tm  0.833  0.167  0.000